VASP calculation (PBE) on a relaxed ZnCd2In crystal.

Summary:
Energy = -5.495 eV per formula unit
E_form = 0.087 eV/atom
DOS at the Fermi energy = 0.98 states/eV per cell
Offset from the most stable computed form = 33 meV/atom

Cell lengths 3.303, 4.936, 5.757 Å; angles 90.00, 104.20, 90.00 degrees
Space group P2/m (No. 10)
One atom of each set of equivalent atoms:
Zn 0.000 0.000 0.000 [1 per cell]
Cd 0.371 0.500 0.233 [2 per cell]
In 0.000 0.000 0.500 [1 per cell]

=====

VASP calculation (PBE) on a relaxed Zn3CdIn crystal.

Summary:
Energy = -5.373 eV per formula unit
E_form = 0.421 eV/atom
DOS at the Fermi energy = 1.68 states/eV per cell
Offset from the most stable computed form = 0 meV/atom

Cell lengths 5.065, 5.065, 5.065 Å; angles 90.00, 90.00, 90.00 degrees
Space group Pm-3m (No. 221)
One atom of each set of equivalent atoms:
Zn 0.000 0.000 0.500 [3 per cell]
Cd 0.000 0.000 0.000 [1 per cell]
In 0.500 0.500 0.500 [1 per cell]

=====

VASP calculation (PBE) on a relaxed ZnCd2In crystal.

Summary:
Energy = -5.563 eV per formula unit
E_form = 0.070 eV/atom
DOS at the Fermi energy = 2.12 states/eV per cell
Offset from the most stable computed form = 16 meV/atom

Cell lengths 2.955, 5.365, 11.277 Å; angles 90.00, 90.00, 90.00 degrees
Space group Immm (No. 71)
One atom of each set of equivalent atoms:
Zn 0.000 0.000 0.000 [2 per cell]
Cd 0.000 0.500 0.278 [4 per cell]
In 0.000 0.000 0.500 [2 per cell]

=====

VASP calculation (PBE) on a relaxed Zn2CdIn crystal.

Summary:
Energy = -5.611 eV per formula unit
E_form = 0.148 eV/atom
DOS at the Fermi energy = 4.14 states/eV per cell
Offset from the most stable computed form = 73 meV/atom

Cell lengths 6.944, 6.944, 6.944 Å; angles 90.00, 90.00, 90.00 degrees
Space group F-43m (No. 216)
One atom of each set of equivalent atoms:
Zn 0.000 0.000 0.000 [4 per cell]
Zn 0.250 0.250 0.250 [4 per cell]
Cd 0.250 0.250 0.750 [4 per cell]
In 0.000 0.000 0.500 [4 per cell]

=====

VASP calculation (PBE) on a relaxed ZnCd2In crystal.

Summary:
Energy = -5.467 eV per formula unit
E_form = 0.094 eV/atom
DOS at the Fermi energy = 0.85 states/eV per cell
Offset from the most stable computed form = 40 meV/atom

Cell lengths 3.574, 3.574, 7.127 Å; angles 90.00, 90.00, 90.00 degrees
Space group P4/mmm (No. 123)
One atom of each set of equivalent atoms:
Zn 0.000 0.000 0.000 [1 per cell]
Cd 0.500 0.500 0.218 [2 per cell]
In 0.000 0.000 0.500 [1 per cell]

=====

VASP calculation (PBE) on a relaxed ZnCd4In crystal.

Summary:
Energy = -6.812 eV per formula unit
E_form = 0.144 eV/atom
DOS at the Fermi energy = 6.37 states/eV per cell
Offset from the most stable computed form = 81 meV/atom

Cell lengths 8.305, 8.305, 8.305 Å; angles 90.00, 90.00, 90.00 degrees
Space group F-43m (No. 216)
One atom of each set of equivalent atoms:
Zn 0.000 0.000 0.000 [4 per cell]
Cd 0.125 0.125 0.625 [16 per cell]
In 0.250 0.250 0.250 [4 per cell]

=====

VASP calculation (PBE) on a relaxed Zn2CdIn crystal.

Summary:
Energy = -5.755 eV per formula unit
E_form = 0.112 eV/atom
DOS at the Fermi energy = 1.29 states/eV per cell
Offset from the most stable computed form = 37 meV/atom

Cell lengths 4.326, 4.326, 4.245 Å; angles 90.00, 90.00, 90.00 degrees
Space group P4/mmm (No. 123)
One atom of each set of equivalent atoms:
Zn 0.000 0.500 0.000 [2 per cell]
Cd 0.000 0.000 0.500 [1 per cell]
In 0.500 0.500 0.500 [1 per cell]

=====

VASP calculation (PBE) on a relaxed ZnCd11In crystal.

Summary:
Energy = -13.407 eV per formula unit
E_form = 0.052 eV/atom
DOS at the Fermi energy = 9.85 states/eV per cell

Cell lengths 5.953, 14.255, 7.647 Å; angles 90.00, 111.28, 90.00 degrees
Space group C2/m (No. 12)
One atom of each set of equivalent atoms:
Zn 0.000 0.000 0.000 [2 per cell]
Cd 0.000 0.500 0.000 [2 per cell]
Cd 0.095 0.105 0.718 [8 per cell]
Cd 0.179 0.327 0.854 [8 per cell]
Cd 0.250 0.250 0.500 [4 per cell]
In 0.000 0.500 0.500 [2 per cell]

=====

VASP calculation (PBE) on a relaxed Zn2CdIn2 crystal.

Summary:
Energy = -8.559 eV per formula unit
E_form = 0.076 eV/atom
DOS at the Fermi energy = 3.33 states/eV per cell
Offset from the most stable computed form = 0 meV/atom

Cell lengths 7.203, 7.203, 4.237 Å; angles 90.00, 90.00, 90.00 degrees
Space group P4/mbm (No. 127)
One atom of each set of equivalent atoms:
Zn 0.127 0.373 0.000 [4 per cell]
Cd 0.000 0.000 0.000 [2 per cell]
In 0.174 0.674 0.500 [4 per cell]

=====

VASP calculation (PBE) on a relaxed Zn2CdIn2 crystal.

Summary:
Energy = -8.349 eV per formula unit
E_form = 0.118 eV/atom
DOS at the Fermi energy = 4.38 states/eV per cell
Offset from the most stable computed form = 42 meV/atom

Cell lengths 3.652, 3.652, 17.240 Å; angles 90.00, 90.00, 90.00 degrees
Space group I4/mmm (No. 139)
One atom of each set of equivalent atoms:
Zn 0.000 0.500 0.250 [4 per cell]
Cd 0.000 0.000 0.000 [2 per cell]
In 0.000 0.000 0.389 [4 per cell]

=====

VASP calculation (PBE) on a relaxed Zn2CdIn crystal.

Summary:
Energy = -5.636 eV per formula unit
E_form = 0.141 eV/atom
DOS at the Fermi energy = 2.29 states/eV per cell
Offset from the most stable computed form = 67 meV/atom

Cell lengths 3.423, 3.423, 7.063 Å; angles 90.00, 90.00, 90.00 degrees
Space group P4/mmm (No. 123)
One atom of each set of equivalent atoms:
Zn 0.000 0.000 0.241 [2 per cell]
Cd 0.500 0.500 0.000 [1 per cell]
In 0.500 0.500 0.500 [1 per cell]

=====

VASP calculation (PBE) on a relaxed ZnCdIn crystal.

Summary:
Energy = -4.639 eV per formula unit
E_form = 0.096 eV/atom
DOS at the Fermi energy = 1.61 states/eV per cell

Cell lengths 3.3951, 3.3951, 6.6516 Å; angles 90.00, 90.00, 120.00 degrees
Space group P3m1 (No. 156)
One atom of each set of equivalent atoms:
Zn 0.0000 0.0000 0.0000 [1 per cell]
Cd 0.6667 0.3333 0.3042 [1 per cell]
In 0.3333 0.6667 0.6725 [1 per cell]

=====

VASP calculation (PBE) on a relaxed ZnCd2In crystal.

Summary:
Energy = -5.512 eV per formula unit
E_form = 0.083 eV/atom
DOS at the Fermi energy = 1.39 states/eV per cell
Offset from the most stable computed form = 28 meV/atom

Cell lengths 3.270, 4.349, 6.209 Å; angles 90.00, 90.00, 90.00 degrees
Space group Pmmm (No. 47)
One atom of each set of equivalent atoms:
Zn 0.000 0.000 0.000 [1 per cell]
Cd 0.500 0.500 0.234 [2 per cell]
In 0.000 0.000 0.500 [1 per cell]

=====

VASP calculation (PBE) on a relaxed Zn2Cd2In crystal.

Summary:
Energy = -6.709 eV per formula unit
E_form = 0.081 eV/atom
DOS at the Fermi energy = 4.05 states/eV per cell
Offset from the most stable computed form = 0 meV/atom

Cell lengths 5.806, 6.829, 7.197 Å; angles 61.97, 66.61, 64.88 degrees
Space group P-1 (No. 2)
One atom of each set of equivalent atoms:
Zn 0.105 0.161 0.453 [2 per cell]
Zn 0.224 0.343 0.040 [2 per cell]
Cd 0.032 0.334 0.746 [2 per cell]
Cd 0.387 0.831 0.251 [2 per cell]
In 0.359 0.759 0.757 [2 per cell]

=====

VASP calculation (PBE) on a relaxed Zn2CdIn crystal.

Summary:
Energy = -5.783 eV per formula unit
E_form = 0.105 eV/atom
DOS at the Fermi energy = 2.55 states/eV per cell
Offset from the most stable computed form = 30 meV/atom

Cell lengths 5.999, 8.562, 3.122 Å; angles 90.00, 90.23, 90.00 degrees
Space group C2/m (No. 12)
One atom of each set of equivalent atoms:
Zn 0.250 0.250 0.000 [4 per cell]
Cd 0.000 0.000 0.500 [2 per cell]
In 0.000 0.500 0.500 [2 per cell]

=====

VASP calculation (PBE) on a relaxed Zn3Cd3In crystal.

Summary:
Energy = -6.371 eV per formula unit
E_form = 0.419 eV/atom
DOS at the Fermi energy = 6.79 states/eV per cell

Cell lengths 7.499, 7.499, 7.499 Å; angles 90.00, 90.00, 90.00 degrees
Space group Pm-3n (No. 223)
One atom of each set of equivalent atoms:
Zn 0.000 0.250 0.500 [6 per cell]
Cd 0.000 0.500 0.250 [6 per cell]
In 0.000 0.000 0.000 [2 per cell]

=====

VASP calculation (PBE) on a relaxed ZnCd2In crystal.

Summary:
Energy = -5.598 eV per formula unit
E_form = 0.061 eV/atom
DOS at the Fermi energy = 2.64 states/eV per cell
Offset from the most stable computed form = 7 meV/atom

Cell lengths 4.482, 4.567, 8.563 Å; angles 90.00, 90.00, 90.00 degrees
Space group Cmm2 (No. 35)
One atom of each set of equivalent atoms:
Zn 0.000 0.000 0.000 [2 per cell]
Cd 0.000 0.000 0.479 [2 per cell]
Cd 0.000 0.500 0.221 [2 per cell]
In 0.000 0.500 0.759 [2 per cell]

=====

VASP calculation (PBE) on a relaxed ZnCd2In crystal.

Summary:
Energy = -5.317 eV per formula unit
E_form = 0.132 eV/atom
DOS at the Fermi energy = 7.89 states/eV per cell
Offset from the most stable computed form = 77 meV/atom

Cell lengths 7.152, 7.152, 7.152 Å; angles 90.00, 90.00, 90.00 degrees
Space group Fm-3m (No. 225)
One atom of each set of equivalent atoms:
Zn 0.000 0.000 0.000 [4 per cell]
Cd 0.250 0.250 0.250 [8 per cell]
In 0.000 0.000 0.500 [4 per cell]

=====

VASP calculation (PBE) on a relaxed ZnCdIn3 crystal.

Summary:
Energy = -9.165 eV per formula unit
E_form = 0.248 eV/atom
DOS at the Fermi energy = 2.84 states/eV per cell
Offset from the most stable computed form = 0 meV/atom

Cell lengths 5.265, 5.265, 5.265 Å; angles 90.00, 90.00, 90.00 degrees
Space group Pm-3m (No. 221)
One atom of each set of equivalent atoms:
Zn 0.000 0.000 0.000 [1 per cell]
Cd 0.500 0.500 0.500 [1 per cell]
In 0.000 0.000 0.500 [3 per cell]

=====

VASP calculation (PBE) on a relaxed Zn2Cd2In crystal.

Summary:
Energy = -6.575 eV per formula unit
E_form = 0.108 eV/atom
DOS at the Fermi energy = 3.51 states/eV per cell
Offset from the most stable computed form = 27 meV/atom

Cell lengths 4.018, 4.018, 13.640 Å; angles 90.00, 90.00, 90.00 degrees
Space group I4/mmm (No. 139)
One atom of each set of equivalent atoms:
Zn 0.000 0.500 0.250 [4 per cell]
Cd 0.000 0.000 0.106 [4 per cell]
In 0.000 0.000 0.500 [2 per cell]